a | Compound: Tc2SCl
Source: the Alexandria database
Functional: PBE-GGA
Structure: relaxed

Results
The total magnetization comes out at 0.00 μB/atom. Its space-group type is Fm-3m, No. 225. Its density is 8.0 g cm⁻³. The calculation puts the density of states at the Fermi level at 4.88 states/eV/f.u.

Lattice parameters (Å, degrees): 4.267 4.267 4.267 60.00 60.00 60.00
Atoms (fractional coordinates):
Tc: 0.250 0.250 0.250
Cl: 0.500 0.500 0.500
Tc: 0.750 0.750 0.750
S: 0.000 0.000 0.000


b | Compound: Tc2SCl
Source: the Alexandria database
Functional: PBE-GGA
Structure: relaxed

Results
The total magnetization comes out at 0.00 μB/atom. Its space-group type is I-42d, No. 122. Its density is 5.9 g cm⁻³. The calculation puts the density of states at the Fermi level at 1.45 states/eV/f.u.

Lattice parameters (Å, degrees): 5.253 5.253 6.504 66.18 66.18 90.00
Atoms (fractional coordinates):
Cl: 0.750 0.250 0.500
Cl: 0.000 0.000 0.000
Tc: 0.145 0.625 0.250
Tc: 0.375 0.395 0.750
Tc: 0.875 0.855 0.750
S: 0.250 0.750 0.500
S: 0.500 0.500 0.000
Tc: 0.605 0.125 0.250


Which of them is the least stable? Correct choice: a.


a | Compound: TcS3Cl
Source: the Alexandria database
Functional: PBE-GGA
Structure: relaxed

Results
The total magnetization comes out at 0.00 μB/atom. Its space-group type is Pm-3m, No. 221. Its density is 3.9 g cm⁻³. The calculation puts the density of states at the Fermi level at 4.40 states/eV/f.u.

Lattice parameters (Å, degrees): 4.616 4.616 4.616 90.00 90.00 90.00
Atoms (fractional coordinates):
Cl: 0.500 0.500 0.500
S: 0.000 0.000 0.500
S: 0.500 0.000 0.000
Tc: 0.000 0.000 0.000
S: 0.000 0.500 0.000


b | Compound: TcS3Cl
Source: the Alexandria database
Functional: PBE-GGA
Structure: relaxed

Results
The total magnetization comes out at 0.85 μB/atom. Its space-group type is Pm-3m, No. 221. Its density is 3.8 g cm⁻³. The calculation puts the density of states at the Fermi level at 2.95 states/eV/f.u.

Lattice parameters (Å, degrees): 4.640 4.640 4.640 90.00 90.00 90.00
Site moments in Bohr magnetons follow the coordinates.
Atoms (fractional coordinates):
S: 0.000 0.500 0.000  -0.02
Cl: 0.000 0.000 0.000  -0.03
Tc: 0.500 0.500 0.500  3.84
S: 0.000 0.000 0.500  0.03
S: 0.500 0.000 0.000  -0.05


Which of them is the least stable? Correct choice: b.


a | Compound: TcTeSCl2
Source: the Alexandria database
Functional: PBE-GGA
Structure: relaxed

Results
The total magnetization comes out at 1.03 μB/atom. Its space-group type is P4/mmm, No. 123. Its density is 3.7 g cm⁻³. The calculation puts the density of states at the Fermi level at 5.49 states/eV/f.u.

Lattice parameters (Å, degrees): 5.287 5.287 5.269 90.00 90.00 90.00
Site moments in Bohr magnetons follow the coordinates.
Atoms (fractional coordinates):
S: 0.000 0.000 0.500  0.02
Tc: 0.500 0.500 0.500  4.12
Te: 0.000 0.000 0.000  0.01
Cl: 0.000 0.500 0.000  0.04
Cl: 0.500 0.000 0.000  0.04


b | Compound: TcTeSCl2
Source: the Alexandria database
Functional: PBE-GGA
Structure: relaxed

Results
The total magnetization comes out at 0.00 μB/atom. Its space-group type is P4/mmm, No. 123. Its density is 5.1 g cm⁻³. The calculation puts the density of states at the Fermi level at 4.17 states/eV/f.u.

Lattice parameters (Å, degrees): 4.821 4.821 4.626 90.00 90.00 90.00
Atoms (fractional coordinates):
S: 0.000 0.000 0.500
Cl: 0.000 0.500 0.000
Cl: 0.500 0.000 0.000
Te: 0.500 0.500 0.500
Tc: 0.000 0.000 0.000


Which of them is the least stable? Correct choice: a.


a | Compound: TlTcS2Cl
Source: the Alexandria database
Functional: PBE-GGA
Structure: relaxed

Results
The total magnetization comes out at 0.00 μB/atom. Its space-group type is P4/mmm, No. 123. Its density is 5.9 g cm⁻³. The calculation puts the density of states at the Fermi level at 1.34 states/eV/f.u.

Lattice parameters (Å, degrees): 4.614 4.614 5.301 90.00 90.00 90.00
Atoms (fractional coordinates):
Tc: 0.000 0.000 0.000
S: 0.500 0.000 0.000
Cl: 0.000 0.000 0.500
Tl: 0.500 0.500 0.500
S: 0.000 0.500 0.000


b | Compound: TlTcS2Cl
Source: the Alexandria database
Functional: PBE-GGA
Structure: relaxed

Results
The total magnetization comes out at 0.97 μB/atom. Its space-group type is P4/mmm, No. 123. Its density is 4.9 g cm⁻³. The calculation puts the density of states at the Fermi level at 1.34 states/eV/f.u.

Lattice parameters (Å, degrees): 5.130 5.130 5.172 90.00 90.00 90.00
Site moments in Bohr magnetons follow the coordinates.
Atoms (fractional coordinates):
S: 0.000 0.500 0.000  0.04
S: 0.500 0.000 0.000  0.04
Tl: 0.000 0.000 0.000  -0.01
Cl: 0.000 0.000 0.500  0.04
Tc: 0.500 0.500 0.500  4.09


Which of them is the least stable? Correct choice: b.